[1]
Material: Ca3MgPd
Method: DFT, PBE-GGA
State: optimized geometry

abc: 5.5969 5.5969 5.5969
angles: 90.00 90.00 90.00
With the nearest neighbours (Å) after each atom.
Positions (direct):
Ca1 0.0000 0.0000 0.5000  2 Pd 2.80
Ca2 0.0000 0.5000 0.0000  2 Pd 2.80
Ca3 0.5000 0.0000 0.0000  2 Pd 2.80
Mg1 0.5000 0.5000 0.5000  12 Ca 3.96
Pd1 0.0000 0.0000 0.0000  6 Ca 2.80

Summary:
Crystal system: cubic
Symmetry: Pm-3m, No. 221
N(E_F): 2.8 states/eV per cell
ΔH_f (0 K): -0.24 eV/atom
ΔE to the lowest computed polymorph: 0 meV/atom
Total energy: -13.97 eV per cell

***

[2]
Material: La5Tb8Mg
Method: DFT, PBE-GGA
State: optimized geometry

abc: 8.5285 8.5285 8.5285
angles: 110.38 110.38 107.67
With the nearest neighbours (Å) after each atom.
Positions (direct):
La1 0.0000 0.0000 0.0000  8 Tb 3.16-3.41
La2 0.2038 0.3153 0.6818  8 Tb 3.40-3.66, 2 La 3.67
La3 0.4781 0.7962 0.1115  8 Tb 3.40-3.66, 2 La 3.67
La4 0.6334 0.5219 0.3182  8 Tb 3.40-3.66, 2 La 3.67
La5 0.6847 0.3666 0.8885  8 Tb 3.40-3.66, 2 La 3.67
Tb1 0.1596 0.4292 0.1000  3 La 3.16-3.50, 1 Mg 3.18
Tb2 0.3291 0.0595 0.9000  3 La 3.16-3.50, 1 Mg 3.18
Tb3 0.4226 0.1620 0.3990  5 La 3.40-3.66, 4 Tb 3.58-3.76
Tb4 0.5708 0.6709 0.7304  3 La 3.16-3.50, 1 Mg 3.18
Tb5 0.7630 0.0236 0.6010  5 La 3.40-3.66, 4 Tb 3.58-3.76
Tb6 0.8380 0.2370 0.2606  5 La 3.40-3.66, 4 Tb 3.58-3.76
Tb7 0.9405 0.8404 0.2696  3 La 3.16-3.50, 1 Mg 3.18
Tb8 0.9764 0.5774 0.7394  5 La 3.40-3.66, 4 Tb 3.58-3.76
Mg1 0.2500 0.7500 0.5000  4 Tb 3.18

Summary:
Crystal system: tetragonal
Symmetry: I-4, No. 82
N(E_F): 18.9 states/eV per cell
ΔH_f (0 K): 0.22 eV/atom
Total energy: -60.22 eV per cell